PaPtPbO5: relaxed, GGA-PBE.

Cell: 6.000 6.000 8.385 Å, 98.56 98.56 118.49°
Site moments in Bohr magnetons follow the coordinates.
Atoms (fractional coordinates):
Pa 0.000 0.000 0.500  0.05
Pa 0.000 0.000 0.000  0.05
Pt 0.666 0.334 0.250  0.40
Pt 0.334 0.666 0.750  0.40
Pb 0.316 0.684 0.250  0.00
Pb 0.684 0.316 0.750  0.00
O 0.056 0.944 0.250  0.01
O 0.944 0.056 0.750  0.01
O 0.819 0.217 0.078  0.05
O 0.181 0.783 0.922  0.05
O 0.783 0.181 0.422  0.05
O 0.217 0.819 0.578  0.05
O 0.642 0.597 0.409  0.16
O 0.358 0.403 0.591  0.16
O 0.403 0.358 0.091  0.16
O 0.597 0.642 0.909  0.16

Values from the calculation:
symmetry: No. 15
energy: -7.276 eV per atom